# SrAsP2

SrAsP2 after structural relaxation (PBE-GGA, Alexandria via LeMat-Bulk).

Values from the calculation:
* formation enthalpy at 0 K: -0.146 eV/atom
* DOS at the Fermi energy: 0.3483 states/eV/atom
* space-group type: No. 65

Unit cell a=3.8574 b=3.8574 c=6.0040 alpha=90.00 beta=90.00 gamma=100.09
Closest atoms and distances in Å follow each position.
Fractional coordinates of all 4 atoms:
P  0.0000  0.0000  0.9331  1 P 2.20
Sr  0.5000  0.5000  0.2500  2 As 3.00, 4 P 3.12
P  0.0000  0.0000  0.5669  1 P 2.20
As  0.5000  0.5000  0.7500  4 P 2.71, 2 Sr 3.00

# AcPdRhAu

AcPdRhAu after structural relaxation (PBE-GGA, Alexandria via LeMat-Bulk).

Values from the calculation:
* formation enthalpy at 0 K: -0.468 eV/atom
* DOS at the Fermi energy: 0.3543 states/eV/atom
* space-group type: No. 216

Unit cell a=4.8960 b=4.8960 c=4.8960 alpha=60.00 beta=60.00 gamma=60.00
Closest atoms and distances in Å follow each position.
Fractional coordinates of all 4 atoms:
Pd  0.7500  0.7500  0.7500  4 Au 3.00, 4 Ac 3.00
Rh  0.2500  0.2500  0.2500  4 Au 3.00, 4 Ac 3.00
Ac  0.0000  0.0000  0.0000  4 Rh 3.00, 4 Pd 3.00
Au  0.5000  0.5000  0.5000  4 Pd 3.00, 4 Rh 3.00

# Sn4HgSb2

Sn4HgSb2 after structural relaxation (PBE-GGA, Alexandria via LeMat-Bulk).

Values from the calculation:
* calculated total energy: -3.41 eV/atom
* DOS at the Fermi energy: 0.4087 states/eV/atom
* space-group type: No. 15

Unit cell a=8.2254 b=8.2259 c=8.2329 alpha=109.53 beta=109.52 gamma=109.39
Closest atoms and distances in Å follow each position.
Fractional coordinates of all 14 atoms:
Sb  0.6251  0.8750  0.2501  6 Sn 3.07-3.08
Sn  0.3632  0.0560  0.3073  1 Hg 2.97, 3 Sb 3.07-3.08
Sb  0.6249  0.3750  0.7499  6 Sn 3.07-3.08
Sn  0.5017  0.6941  0.8080  1 Hg 2.97, 3 Sb 3.07-3.08
Hg  0.9996  0.0004  0.0000  4 Sn 2.97
Sn  0.9441  0.2517  0.3080  1 Hg 2.97, 3 Sb 3.07-3.08
Sn  0.3060  0.1133  0.8073  1 Hg 2.97, 3 Sb 3.07-3.08
Hg  0.2504  0.7496  0.5000  4 Sn 2.97
Sn  0.7483  0.0560  0.6921  1 Hg 2.97, 3 Sb 3.07-3.08
Sb  0.1250  0.3751  0.7501  6 Sn 3.07-3.08
Sb  0.6250  0.3749  0.2499  6 Sn 3.07-3.08
Sn  0.8868  0.6939  0.1926  1 Hg 2.97, 3 Sb 3.07-3.08
Sn  0.3060  0.4983  0.1921  1 Hg 2.97, 3 Sb 3.07-3.08
Sn  0.9439  0.6367  0.6926  1 Hg 2.97, 3 Sb 3.07-3.08

# PuMnRe

PuMnRe after structural relaxation (PBE-GGA, Alexandria via LeMat-Bulk).

Values from the calculation:
* formation enthalpy at 0 K: 0.062 eV/atom
* DOS at the Fermi energy: 2.6612 states/eV/atom
* space-group type: No. 74

Unit cell a=5.2190 b=5.2190 c=5.2190 alpha=85.45 beta=66.24 gamma=121.19
Closest atoms and distances in Å follow each position.
Fractional coordinates of all 6 atoms:
Mn  0.0000  0.5000  0.5000  4 Re 2.61, 2 Mn 2.85
Mn  0.5000  0.5000  0.0000  4 Re 2.61, 2 Mn 2.85
Pu  0.7500  0.8648  0.3852  6 Mn 2.95-3.08, 6 Re 3.01-3.23, 2 Pu 3.03
Re  0.5000  0.0000  0.0000  2 Re 2.56, 4 Mn 2.61
Pu  0.2500  0.1352  0.6148  6 Mn 2.95-3.08, 6 Re 3.01-3.23, 2 Pu 3.03
Re  0.0000  0.5000  0.0000  2 Re 2.56, 4 Mn 2.61

# AlIn2Te

AlIn2Te after structural relaxation (PBE-GGA, Alexandria via LeMat-Bulk).

Values from the calculation:
* calculated total energy: -3.07 eV/atom
* DOS at the Fermi energy: 0.3739 states/eV/atom
* space-group type: No. 44

Unit cell a=6.2510 b=6.2510 c=6.2510 alpha=144.84 beta=129.72 gamma=62.83
Closest atoms and distances in Å follow each position.
Fractional coordinates of all 4 atoms:
Al  0.2627  0.7627  0.5000  2 Te 2.81, 2 In 3.12
Te  0.4573  0.4573  0.0000  2 Al 2.81
In  0.0301  0.0301  0.0000  2 Al 3.12, 4 Te 3.35
In  0.7498  0.2498  0.5000  4 Al 3.26, 4 Te 3.46-3.65, 4 In 3.54

# Ge2MoRu

Ge2MoRu after structural relaxation (PBE-GGA, Alexandria via LeMat-Bulk).

Values from the calculation:
* formation enthalpy at 0 K: 0.212 eV/atom
* DOS at the Fermi energy: 0.6206 states/eV/atom
* space-group type: No. 166

Unit cell a=2.8887 b=2.8887 c=9.2341 alpha=81.00 beta=81.00 gamma=60.00
Closest atoms and distances in Å follow each position.
Fractional coordinates of all 4 atoms:
Mo  0.0000  0.0000  0.0000  2 Ge 2.61, 6 Mo 2.89
Ge  0.0957  0.0957  0.7129  3 Ru 2.55, 1 Mo 2.61
Ge  0.9043  0.9043  0.2871  3 Ru 2.55, 1 Mo 2.61
Ru  0.5000  0.5000  0.5000  6 Ge 2.55

# Y3CdRu

Y3CdRu after structural relaxation (PBE-GGA, Alexandria via LeMat-Bulk).

Values from the calculation:
* formation enthalpy at 0 K: -0.123 eV/atom
* DOS at the Fermi energy: 0.6039 states/eV/atom
* space-group type: No. 221

Unit cell a=5.3442 b=5.3442 c=5.3442 alpha=90.00 beta=90.00 gamma=90.00
Closest atoms and distances in Å follow each position.
Fractional coordinates of all 5 atoms:
Y  0.0000  0.5000  0.0000  2 Ru 2.67
Y  0.0000  0.0000  0.5000  2 Ru 2.67
Y  0.5000  0.0000  0.0000  2 Ru 2.67
Ru  0.0000  0.0000  0.0000  6 Y 2.67
Cd  0.5000  0.5000  0.5000  12 Y 3.78

# Ta3CrMo2

Ta3CrMo2 after structural relaxation (PBE-GGA, Alexandria via LeMat-Bulk).

Values from the calculation:
* formation enthalpy at 0 K: -0.130 eV/atom
* DOS at the Fermi energy: 0.8216 states/eV/atom
* space-group type: No. 65

Unit cell a=4.5114 b=7.1361 c=6.3842 alpha=90.00 beta=90.00 gamma=71.57
Closest atoms and distances in Å follow each position.
Fractional coordinates of all 12 atoms:
Ta  0.8312  0.3372  0.2440  3 Cr 2.70-2.74, 5 Mo 2.76-2.81
Mo  0.6666  0.6667  0.5000  8 Ta 2.77-2.79
Mo  0.3334  0.3333  0.5000  8 Ta 2.77-2.79
Mo  0.0000  0.0000  0.5000  8 Ta 2.78-2.81
Ta  0.1688  0.6628  0.7560  3 Cr 2.70-2.74, 5 Mo 2.76-2.81
Ta  0.8316  0.3372  0.7560  3 Cr 2.70-2.74, 5 Mo 2.76-2.81
Ta  0.5003  0.0000  0.7535  6 Mo 2.75-2.78, 2 Cr 2.77
Ta  0.4997  0.0000  0.2465  6 Mo 2.75-2.78, 2 Cr 2.77
Cr  0.3317  0.3367  0.0000  8 Ta 2.70-2.77
Cr  0.6683  0.6633  0.0000  8 Ta 2.70-2.77
Mo  0.0000  0.0000  0.0000  8 Ta 2.75-2.76
Ta  0.1684  0.6628  0.2440  3 Cr 2.70-2.74, 5 Mo 2.76-2.81

# Sn2BiAu

Sn2BiAu after structural relaxation (PBE-GGA, Alexandria via LeMat-Bulk).

Values from the calculation:
* formation enthalpy at 0 K: -0.045 eV/atom
* DOS at the Fermi energy: 0.3850 states/eV/atom
* space-group type: No. 63

Unit cell a=3.4325 b=4.6521 c=14.4935 alpha=90.00 beta=96.80 gamma=90.00
Closest atoms and distances in Å follow each position.
Fractional coordinates of all 8 atoms:
Au  0.3113  0.2500  0.6226  7 Sn 2.82-2.97
Sn  0.2117  0.2500  0.4234  5 Au 2.87-2.97
Sn  0.7883  0.7500  0.5766  5 Au 2.87-2.97
Bi  0.9552  0.7500  0.9105  2 Sn 3.01
Bi  0.0448  0.2500  0.0895  2 Sn 3.01
Au  0.6887  0.7500  0.3774  7 Sn 2.82-2.97
Sn  0.1109  0.7500  0.2218  2 Au 2.82, 2 Bi 3.01
Sn  0.8891  0.2500  0.7782  2 Au 2.82, 2 Bi 3.01

# AsCl

AsCl after structural relaxation (PBE-GGA, Alexandria via LeMat-Bulk).

Values from the calculation:
* calculated total energy: -3.36 eV/atom
* DOS at the Fermi energy: 0.1612 states/eV/atom
* space-group type: No. 83

Unit cell a=12.8112 b=12.8112 c=3.0553 alpha=90.00 beta=90.00 gamma=90.00
Closest atoms and distances in Å follow each position.
Fractional coordinates of all 16 atoms:
As  0.5562  0.6253  0.5000  2 As 2.49
As  0.3747  0.5562  0.5000  2 As 2.49
Cl  0.2987  0.1026  0.0000  1 As 2.17
Cl  0.1340  0.3817  0.5000  2 As 2.53
Cl  0.1026  0.7013  0.0000  1 As 2.17
Cl  0.8660  0.6183  0.5000  2 As 2.53
Cl  0.6183  0.1340  0.5000  2 As 2.53
As  0.0578  0.2441  0.0000  1 Cl 2.17
Cl  0.7013  0.8974  0.0000  1 As 2.17
As  0.6253  0.4438  0.5000  2 As 2.49
Cl  0.3817  0.8660  0.5000  2 As 2.53
Cl  0.8974  0.2987  0.0000  1 As 2.17
As  0.7559  0.0578  0.0000  1 Cl 2.17
As  0.4438  0.3747  0.5000  2 As 2.49
As  0.2441  0.9422  0.0000  1 Cl 2.17
As  0.9422  0.7559  0.0000  1 Cl 2.17

# Nd2ZnFe2Co5

Nd2ZnFe2Co5 after structural relaxation (PBE-GGA, Alexandria via LeMat-Bulk).

Values from the calculation:
* formation enthalpy at 0 K: 0.133 eV/atom
* DOS at the Fermi energy: 0.8968 states/eV/atom
* space-group type: No. 127

Unit cell a=3.7693 b=9.0088 c=9.0088 alpha=90.00 beta=90.00 gamma=90.00
Closest atoms and distances in Å follow each position.
Fractional coordinates of all 20 atoms:
Co  0.5000  0.4467  0.2918  2 Fe 2.55, 3 Co 2.67-2.74, 2 Zn 2.70
Nd  0.0000  0.1885  0.3115  3 Fe 2.58-2.77
Co  0.5000  0.7918  0.9467  2 Fe 2.55, 3 Co 2.67-2.74, 2 Zn 2.70
Fe  0.0000  0.3911  0.1089  6 Co 2.34-2.55, 1 Nd 2.58
Nd  0.0000  0.6885  0.1885  3 Fe 2.58-2.77
Co  0.5000  0.0533  0.7918  2 Fe 2.55, 3 Co 2.67-2.74, 2 Zn 2.70
Co  0.5000  0.5533  0.7082  2 Fe 2.55, 3 Co 2.67-2.74, 2 Zn 2.70
Nd  0.0000  0.8115  0.6885  3 Fe 2.58-2.77
Zn  0.0000  0.0000  0.0000  8 Co 2.70
Nd  0.0000  0.3115  0.8115  3 Fe 2.58-2.77
Fe  0.0000  0.1089  0.6089  6 Co 2.34-2.55, 1 Nd 2.58
Co  0.5000  0.7082  0.4467  2 Fe 2.55, 3 Co 2.67-2.74, 2 Zn 2.70
Co  0.5000  0.5000  0.0000  4 Fe 2.34
Co  0.5000  0.2082  0.0533  2 Fe 2.55, 3 Co 2.67-2.74, 2 Zn 2.70
Co  0.5000  0.0000  0.5000  4 Fe 2.34
Zn  0.0000  0.5000  0.5000  8 Co 2.70
Fe  0.0000  0.6089  0.8911  6 Co 2.34-2.55, 1 Nd 2.58
Co  0.5000  0.2918  0.5533  2 Fe 2.55, 3 Co 2.67-2.74, 2 Zn 2.70
Fe  0.0000  0.8911  0.3911  6 Co 2.34-2.55, 1 Nd 2.58
Co  0.5000  0.9467  0.2082  2 Fe 2.55, 3 Co 2.67-2.74, 2 Zn 2.70

# HfRe2Ir2

HfRe2Ir2 after structural relaxation (PBE-GGA, Alexandria via LeMat-Bulk).

Values from the calculation:
* formation enthalpy at 0 K: -0.199 eV/atom
* DOS at the Fermi energy: 0.4521 states/eV/atom
* space-group type: No. 127

Unit cell a=7.6661 b=7.6661 c=2.7708 alpha=90.00 beta=90.00 gamma=90.00
Closest atoms and distances in Å follow each position.
Fractional coordinates of all 10 atoms:
Ir  0.8265  0.3265  0.5000  6 Re 2.62-2.68, 2 Ir 2.77
Hf  0.0000  0.0000  0.0000  2 Hf 2.77, 4 Re 3.05
Ir  0.6735  0.8265  0.5000  6 Re 2.62-2.68, 2 Ir 2.77
Re  0.8789  0.6211  0.0000  6 Ir 2.62-2.68, 3 Re 2.63-2.77
Ir  0.1735  0.6735  0.5000  6 Re 2.62-2.68, 2 Ir 2.77
Re  0.3789  0.8789  0.0000  6 Ir 2.62-2.68, 3 Re 2.63-2.77
Re  0.1211  0.3789  0.0000  6 Ir 2.62-2.68, 3 Re 2.63-2.77
Re  0.6211  0.1211  0.0000  6 Ir 2.62-2.68, 3 Re 2.63-2.77
Hf  0.5000  0.5000  0.0000  2 Hf 2.77, 4 Re 3.05
Ir  0.3265  0.1735  0.5000  6 Re 2.62-2.68, 2 Ir 2.77

# Tb5PmY7

Tb5PmY7 after structural relaxation (PBE-GGA, Alexandria via LeMat-Bulk).

Values from the calculation:
* formation enthalpy at 0 K: 0.238 eV/atom
* DOS at the Fermi energy: 1.9313 states/eV/atom
* space-group type: No. 44

Unit cell a=6.7215 b=8.7319 c=8.7319 alpha=79.48 beta=67.36 gamma=67.36
Closest atoms and distances in Å follow each position.
Fractional coordinates of all 13 atoms:
Tb  0.0003  0.5421  0.9938  2 Tb 3.10-3.12, 2 Y 3.43-3.45
Tb  0.4638  0.5421  0.9938  2 Tb 3.10-3.12, 2 Y 3.43-3.45
Y  0.7347  0.2653  0.2653  3 Y 3.36-3.59, 1 Pm 3.50, 4 Tb 3.55
Y  0.4794  0.8512  0.1899  5 Tb 3.47-3.50, 5 Y 3.51-3.79
Tb  0.4638  0.9938  0.5421  2 Tb 3.10-3.12, 2 Y 3.43-3.45
Y  0.9799  0.3471  0.6931  3 Y 3.45-3.79, 5 Tb 3.45-3.51, 1 Pm 3.71
Y  0.4255  0.5745  0.5745  7 Y 3.59-3.93, 4 Tb 3.72
Y  0.2254  0.2746  0.2746  6 Y 3.36-3.51, 4 Tb 3.43
Y  0.9799  0.6931  0.3471  3 Y 3.45-3.79, 5 Tb 3.45-3.51, 1 Pm 3.71
Y  0.4794  0.1899  0.8512  5 Tb 3.47-3.50, 5 Y 3.51-3.79
Tb  0.0003  0.9938  0.5421  2 Tb 3.10-3.12, 2 Y 3.43-3.45
Tb  0.7315  0.7685  0.7685  4 Tb 3.10
Pm  0.0360  0.9640  0.9640  7 Y 3.50-3.91, 4 Tb 3.74

# Sr2TiSn2

Sr2TiSn2 after structural relaxation (PBE-GGA, Alexandria via LeMat-Bulk).

Values from the calculation:
* formation enthalpy at 0 K: -0.311 eV/atom
* DOS at the Fermi energy: 1.1303 states/eV/atom
* space-group type: No. 127

Unit cell a=7.7735 b=7.7735 c=5.1219 alpha=90.00 beta=90.00 gamma=90.00
Closest atoms and distances in Å follow each position.
Fractional coordinates of all 10 atoms:
Sn  0.6397  0.1397  0.0000  2 Ti 3.00, 1 Sn 3.07, 2 Sr 3.32
Ti  0.5000  0.5000  0.0000  4 Sn 3.00
Ti  0.0000  0.0000  0.0000  4 Sn 3.00
Sn  0.1397  0.3603  0.0000  2 Ti 3.00, 1 Sn 3.07, 2 Sr 3.32
Sn  0.3603  0.8603  0.0000  2 Ti 3.00, 1 Sn 3.07, 2 Sr 3.32
Sr  0.8313  0.3313  0.5000  6 Sn 3.32-3.52, 1 Sr 3.71
Sr  0.1687  0.6687  0.5000  6 Sn 3.32-3.52, 1 Sr 3.71
Sn  0.8603  0.6397  0.0000  2 Ti 3.00, 1 Sn 3.07, 2 Sr 3.32
Sr  0.6687  0.8313  0.5000  6 Sn 3.32-3.52, 1 Sr 3.71
Sr  0.3313  0.1687  0.5000  6 Sn 3.32-3.52, 1 Sr 3.71

# InSiCl

InSiCl after structural relaxation (PBE-GGA, Alexandria via LeMat-Bulk).

Values from the calculation:
* calculated total energy: -3.22 eV/atom
* DOS at the Fermi energy: 0.4174 states/eV/atom
* space-group type: No. 42

Unit cell a=8.0835 b=7.7243 c=3.2570 alpha=84.38 beta=71.98 gamma=23.64
Closest atoms and distances in Å follow each position.
Fractional coordinates of all 3 atoms:
In  0.3220  0.3220  0.6780  2 Si 3.02, 6 In 3.14-3.26
Cl  0.0266  0.0266  0.9734  2 Si 2.46
Si  0.6514  0.6514  0.3486  2 Cl 2.46